Density functional theory data (PBE) for FeSBrCl2 after structural relaxation.

The calculation puts the calculated density at 4.11 g/cm³. The energy comes out at -3.3998 eV per atom. Its polymorph energy (0 for the lowest one) is 0.0 meV/atom.

Cell: 4.6936 4.6936 4.3811 Å, 90.00 90.00 90.00°
Space group P4/mmm (No. 123)
Symmetry-distinct sites (fractional):
Fe  0.0000  0.0000  0.0000 [1 per cell]
S  0.0000  0.0000  0.5000 [1 per cell]
Br  0.5000  0.5000  0.5000 [1 per cell]
Cl  0.0000  0.5000  0.0000 [2 per cell]